(1)
Below is a relaxed structure of KRbCrRh2, with properties calculated at the PBE level.

It has space group P4/mmm (No. 123), with a = 4.997 Å, b = 4.997 Å, c = 5.317 Å, α = 90.00°, β = 90.00° and γ = 90.00°. The distinct sites, in fractional coordinates, are K at (0.000, 0.000, 0.000), Rb at (0.000, 0.000, 0.500), Cr at (0.500, 0.500, 0.500) and Rh at (0.000, 0.500, 0.000).

Its formation energy is 2.38 eV/atom.

***

(2)
Below is a relaxed structure of CeYTe2Cl, with properties calculated at the PBE level.

It has space group P4/nmm (No. 129, origin choice 2), with a = 4.390 Å, b = 4.390 Å, c = 15.073 Å, α = 90.00°, β = 90.00° and γ = 90.00°. The distinct sites, in fractional coordinates, are Ce at (0.250, 0.250, 0.134), Y at (0.250, 0.250, 0.587), Te at (0.250, 0.250, 0.381), Te at (0.250, 0.250, 0.794) and Cl at (0.250, 0.750, 0.000).

The calculation puts the formation energy without anion corrections at -153.0 kJ per mole of atoms.

***

(3)
Below is a relaxed structure of Tm2ScNi, with properties calculated at the PBE level.

It has space group P4/mmm (No. 123), with a = 3.387 Å, b = 3.387 Å, c = 8.028 Å, α = 90.00°, β = 90.00° and γ = 90.00°. The distinct sites, in fractional coordinates, are Tm at (0.000, 0.000, 0.199), Sc at (0.500, 0.500, 0.500) and Ni at (0.500, 0.500, 0.000).

The value obtained for the excess energy over the best structure of this formula in the dataset is 0.084 eV per atom. Its formation energy is -0.19 eV/atom.

***

(4)
Below is a relaxed structure of CsBaAgF6, with properties calculated at the PBE level.

It has space group Imma (No. 74), with a = 8.313 Å, b = 8.850 Å, c = 10.629 Å, α = 90.00°, β = 90.00° and γ = 90.00°. The distinct sites, in fractional coordinates, are Cs at (0.000, 0.250, 0.160), Ba at (0.250, 0.250, 0.750), Ag at (0.000, 0.000, 0.500), F at (0.000, 0.250, 0.598), F at (0.000, 0.250, 0.893) and F at (0.169, 0.035, 0.370).

The calculation puts the formation energy without anion corrections at -232.3 kJ per mole of atoms.

***

(5)
Below is a relaxed structure of CsCdIn, with properties calculated at the PBE level.

It has space group P-1 (No. 2), with a = 5.340 Å, b = 6.675 Å, c = 8.098 Å, α = 84.20°, β = 71.14° and γ = 66.60°. The distinct sites, in fractional coordinates, are Cs at (0.221, 0.214, 0.347), Cd at (0.378, 0.393, 0.851) and In at (0.050, 0.799, 0.103).

The value obtained for the excess energy over the best structure of this formula in the dataset is 0.000 eV per atom. Its formation energy is -0.08 eV/atom.

***

(6)
Below is a relaxed structure of YHo2PaN4, with properties calculated at the PBE level.

It has space group P2/m (No. 10), with a = 5.988 Å, b = 3.483 Å, c = 5.992 Å, α = 90.00°, β = 109.21° and γ = 90.00°. The distinct sites, in fractional coordinates, are Y at (0.000, 0.000, 0.000), Ho at (0.500, 0.000, 0.500), Ho at (0.500, 0.500, 0.000), Pa at (0.000, 0.500, 0.500), N at (0.243, 0.500, 0.261) and N at (0.245, 0.000, 0.742).

The calculation puts the formation energy without anion corrections at -165.5 kJ per mole of atoms.

***

(7)
Below is a relaxed structure of PaAlPt4, with properties calculated at the PBE level.

It has space group P2/m (No. 10), with a = 3.556 Å, b = 3.897 Å, c = 7.983 Å, α = 90.00°, β = 100.50° and γ = 90.00°. The distinct sites, in fractional coordinates, are Pa at (0.000, 0.000, 0.000), Al at (0.500, 0.500, 0.500), Pt at (0.147, 0.000, 0.349) and Pt at (0.428, 0.500, 0.820).

Its formation energy is -0.80 eV/atom.

***

(8)
Below is a relaxed structure of KMn2Pd, with properties calculated at the PBE level.

It has space group I4_1/amd (No. 141, origin choice 2), with a = 5.351 Å, b = 5.351 Å, c = 17.248 Å, α = 90.00°, β = 90.00° and γ = 90.00°. The distinct sites, in fractional coordinates, are K at (0.000, 0.250, 0.375), Mn at (0.000, 0.000, 0.000) and Pd at (0.000, 0.250, 0.875).

The value obtained for the excess energy over the best structure of this formula in the dataset is 0.000 eV per atom. Its formation energy is 0.75 eV/atom.

***

(9)
Below is a relaxed structure of MgMn2Se3, with properties calculated at the PBE level.

It has space group Immm (No. 71), with a = 3.870 Å, b = 5.460 Å, c = 11.624 Å, α = 90.00°, β = 90.00° and γ = 90.00°. The distinct sites, in fractional coordinates, are Mg at (0.000, 0.000, 0.000), Mn at (0.000, 0.000, 0.334), Se at (0.000, 0.500, 0.000) and Se at (0.000, 0.500, 0.331).

The calculation puts the formation energy without anion corrections at -61.3 kJ per mole of atoms.

***

(10)
Below is a relaxed structure of CdSbTe2Se, with properties calculated at the PBE level.

It has space group P4/mmm (No. 123), with a = 5.496 Å, b = 5.496 Å, c = 5.595 Å, α = 90.00°, β = 90.00° and γ = 90.00°. The distinct sites, in fractional coordinates, are Cd at (0.000, 0.000, 0.000), Sb at (0.000, 0.000, 0.500), Te at (0.000, 0.500, 0.000) and Se at (0.500, 0.500, 0.500).

The calculation puts the formation energy without anion corrections at 75.9 kJ per mole of atoms. The value obtained for the excess energy over the best structure of this formula in the dataset is 0.296 eV per atom.

***

(11)
Below is a relaxed structure of NaZrV2Tc, with properties calculated at the PBE level.

It has space group P4/mmm (No. 123), with a = 4.527 Å, b = 4.527 Å, c = 4.805 Å, α = 90.00°, β = 90.00° and γ = 90.00°. The distinct sites, in fractional coordinates, are Na at (0.000, 0.000, 0.000), Zr at (0.000, 0.000, 0.500), V at (0.000, 0.500, 0.500) and Tc at (0.500, 0.500, 0.000).

Its formation energy is 2.04 eV/atom.

***

(12)
Below is a relaxed structure of MgAgSe3, with properties calculated at the PBE level.

It has space group Pm-3m (No. 221), with a = 5.055 Å, b = 5.055 Å, c = 5.055 Å, α = 90.00°, β = 90.00° and γ = 90.00°. The distinct sites, in fractional coordinates, are Mg at (0.000, 0.000, 0.000), Ag at (0.500, 0.500, 0.500) and Se at (0.000, 0.000, 0.500).

The calculation puts the formation energy without anion corrections at 21.5 kJ per mole of atoms. The value obtained for the excess energy over the best structure of this formula in the dataset is 0.000 eV per atom.

***

(13)
Below is a relaxed structure of LiMgBiBr6, with properties calculated at the PBE level.

It has space group P-31c (No. 163), with a = 7.0084 Å, b = 7.0084 Å, c = 12.7864 Å, α = 90.00°, β = 90.00° and γ = 120.00°. The distinct sites, in fractional coordinates, are Li at (0.0000, 0.0000, 0.0000), Mg at (0.3333, 0.6667, 0.2500), Bi at (0.3333, 0.6667, 0.7500) and Br at (0.0207, 0.3525, 0.1261).

The calculation puts the formation energy without anion corrections at -108.4 kJ per mole of atoms.

***

(14)
Below is a relaxed structure of Pm3TlGa, with properties calculated at the PBE level.

It has space group C2/m (No. 12), with a = 7.060 Å, b = 9.825 Å, c = 9.102 Å, α = 90.00°, β = 112.82° and γ = 90.00°. The distinct sites, in fractional coordinates, are Pm at (0.105, 0.192, 0.210), Pm at (0.192, 0.500, 0.384), Tl at (0.207, 0.500, 0.000) and Ga at (0.000, 0.250, 0.500).

The value obtained for the excess energy over the best structure of this formula in the dataset is 0.000 eV per atom. Its formation energy is -0.34 eV/atom.

***

(15)
Below is a relaxed structure of Pu2Ge6Os, with properties calculated at the PBE level.

It has space group P-3m1 (No. 164), with a = 6.0151 Å, b = 6.0151 Å, c = 5.3993 Å, α = 90.00°, β = 90.00° and γ = 120.00°. The distinct sites, in fractional coordinates, are Pu at (0.3333, 0.6667, 0.2768), Ge at (0.1834, 0.3668, 0.7971) and Os at (0.0000, 0.0000, 0.5000).

Its formation energy is -0.32 eV/atom.

***

(16)
Below is a relaxed structure of RbSiAu3, with properties calculated at the PBE level.

It has space group C2/c (No. 15), with a = 12.589 Å, b = 11.406 Å, c = 8.151 Å, α = 90.00°, β = 92.37° and γ = 90.00°. The distinct sites, in fractional coordinates, are Rb at (0.176, 0.093, 0.073), Si at (0.000, 0.253, 0.750), Si at (0.000, 0.493, 0.250), Au at (0.046, 0.377, 0.988), Au at (0.154, 0.362, 0.295) and Au at (0.157, 0.230, 0.593).

The calculation puts the formation energy without anion corrections at -15.6 kJ per mole of atoms. The value obtained for the excess energy over the best structure of this formula in the dataset is 0.113 eV per atom.

***

(17)
Below is a relaxed structure of Sm6Sn2SbSe3, with properties calculated at the PBE level.

It has space group C2/m (No. 12), with a = 18.891 Å, b = 4.345 Å, c = 8.675 Å, α = 90.00°, β = 103.01° and γ = 90.00°. The distinct sites, in fractional coordinates, are Sm at (0.000, 0.000, 0.244), Sm at (0.165, 0.500, 0.088), Sm at (0.169, 0.500, 0.581), Sn at (0.167, 0.000, 0.834), Sb at (0.000, 0.500, 0.500), Se at (0.000, 0.500, 0.000) and Se at (0.166, 0.000, 0.334).

The calculation puts the formation energy without anion corrections at -130.6 kJ per mole of atoms.

***

(18)
Below is a relaxed structure of ErMgSn, with properties calculated at the PBE level.

It has space group P-6m2 (No. 187), with a = 4.9287 Å, b = 4.9287 Å, c = 3.4930 Å, α = 90.00°, β = 90.00° and γ = 120.00°. The distinct sites, in fractional coordinates, are Er at (0.0000, 0.0000, 0.0000), Mg at (0.3333, 0.6667, 0.5000) and Sn at (0.6667, 0.3333, 0.5000).

Its formation energy is -0.43 eV/atom.

***

(19)
Below is a relaxed structure of DyHo3Ir2, with properties calculated at the PBE level.

It has space group Ibam (No. 72), with a = 6.737 Å, b = 13.548 Å, c = 7.017 Å, α = 90.00°, β = 90.00° and γ = 90.00°. The distinct sites, in fractional coordinates, are Dy at (0.000, 0.000, 0.000), Ho at (0.000, 0.235, 0.250), Ho at (0.000, 0.500, 0.250) and Ir at (0.213, 0.362, 0.000).

Its formation energy is -0.66 eV/atom.

***

(20)
Below is a relaxed structure of ZnCd2Cl, with properties calculated at the PBE level.

It has space group Cmmm (No. 65), with a = 4.006 Å, b = 5.505 Å, c = 8.053 Å, α = 90.00°, β = 90.00° and γ = 90.00°. The distinct sites, in fractional coordinates, are Zn at (0.000, 0.000, 0.000), Cd at (0.000, 0.500, 0.237) and Cl at (0.000, 0.000, 0.500).

The calculation puts the formation energy without anion corrections at -16.8 kJ per mole of atoms. The value obtained for the excess energy over the best structure of this formula in the dataset is 0.073 eV per atom.